Entry 1:
YCdIn | PBE | optimized geometry

The formation enthalpy at 0 K comes out at 0.05 eV/atom. The size of the total moment comes out at 0.000 μB per atom.

The space group is Fddd (No. 70, origin choice 2) and the conventional cell measures 9.4618, 10.8561 and 15.4801 Å, with angles of 90.00, 90.00 and 90.00 degrees. Symmetry generates all atoms from Y at (0.1250, 0.1250, 0.0006), Cd at (0.0000, 0.0000, 0.5000) and In at (0.1250, 0.3435, 0.1250).

=====

Entry 2:
Ba2NbCl | PBE | optimized geometry

For the formation energy (no corrections), the calculation gives 0.4 eV per formula unit. The size of the total moment comes out at 1.223 μB per atom.

The space group is I-42d (No. 122) and the conventional cell measures 8.7426, 8.7426 and 9.0875 Å, with angles of 90.00, 90.00 and 90.00 degrees. Symmetry generates all atoms from Ba at (0.2149, 0.2500, 0.1250), Nb at (0.0000, 0.0000, 0.5000) and Cl at (0.0000, 0.0000, 0.0000).

=====

Entry 3:
MnTl3Ag3I8 | PBE | optimized geometry

For the formation energy (no corrections), the calculation gives -6.0 eV per formula unit. The size of the total moment comes out at 0.333 μB per atom.

The space group is C2/m (No. 12) and the conventional cell measures 15.4804, 8.9095 and 9.5771 Å, with angles of 90.00, 122.49 and 90.00 degrees. Symmetry generates all atoms from Mn at (0.0000, 0.0000, 0.0000), Tl at (0.0000, 0.0000, 0.5000), Tl at (0.2500, 0.2500, 0.5000), Ag at (0.0000, 0.5000, 0.0000), Ag at (0.2500, 0.2500, 0.0000), I at (0.0119, 0.2394, 0.7979), I at (0.2263, 0.0000, 0.2012) and I at (0.2352, 0.5000, 0.2041).

=====

Entry 4:
PrTmAl2Pd5 | PBE | optimized geometry

The formation enthalpy at 0 K comes out at -0.78 eV/atom. The size of the total moment comes out at 0.000 μB per atom.

The space group is P4/mmm (No. 123) and the conventional cell measures 4.2696, 4.2696 and 9.2578 Å, with angles of 90.00, 90.00 and 90.00 degrees. Symmetry generates all atoms from Pr at (0.0000, 0.0000, 0.0000), Tm at (0.0000, 0.0000, 0.5000), Al at (0.5000, 0.5000, 0.3621), Pd at (0.0000, 0.5000, 0.2317) and Pd at (0.5000, 0.5000, 0.0000).

=====

- Among the records above, which one has the highest size of the total moment?
  Ba2NbCl

=====

- Which of these has the highest size of the total moment?
  Ba2NbCl